TbTl2BiSe4 PBE relaxed; total DFT energy (no corrections) = -4.316 eV/atom; V = 30.3 Å³ per atom
1.0
-3.9625 -1.0145 -1.1663
-1.6512 -1.6284 7.0266
-1.6638 7.8320 -1.1599
Tb Tl Bi Se
1 2 1 4
Cartesian
-2.8069 -1.3215 2.9302
-2.8132 3.4088 -1.1631
-1.6575 3.1018 2.9333
0.0000 0.0000 0.0000
-2.7365 0.7544 0.8853
-4.5411 4.4348 3.8152
-1.7654 5.7684 0.9804
-1.5496 0.4352 4.8863

***

TcBiSe2 PBE relaxed; total DFT energy (no corrections) = -5.105 eV/atom; V = 27.8 Å³ per atom; D(E_F) = 0.37 states/eV/atom
1.0
-5.7968 -3.2072 -0.2913
0.7313 -1.8950 6.3125
-4.9285 1.6395 4.5462
Bi Se Tc
2 4 2
Cartesian
0.0000 0.0000 0.0000
-6.6290 -2.0594 3.6328
-4.3342 -1.5939 1.7652
-1.9292 -1.4131 5.0239
-5.5417 -0.8241 6.1354
-8.1828 -3.0944 8.2105
-2.5327 -2.5511 3.0106
-3.3650 -1.4033 6.9347

***

TcBiSe2 PBE relaxed; total DFT energy (no corrections) = -5.413 eV/atom; V = 24.9 Å³ per atom; D(E_F) = 0.48 states/eV/atom
1.0
-4.0634 0.3541 8.2567
-0.8946 -1.0828 9.1014
-1.2232 2.4686 8.7874
Bi Se Tc
1 2 1
Cartesian
0.0000 0.0000 0.0000
-5.4936 1.5463 23.2370
-0.6876 0.1935 2.9085
-3.0906 0.8699 13.0727

***

TcBi2Se PBE relaxed; total DFT energy (no corrections) = -4.792 eV/atom; V = 33.3 Å³ per atom; D(E_F) = 0.65 states/eV/atom
1.0
-5.2690 -0.5019 -3.7245
-1.8151 -5.2765 3.2787
-6.7779 0.7627 3.8628
Bi Se Tc
4 2 2
Cartesian
-5.4409 -0.8041 -1.1123
-3.2611 -3.1483 2.7094
-7.6620 -1.3681 2.5890
-11.3600 -4.7108 2.6479
-3.5420 -2.8892 -0.2229
-6.0675 -3.7015 3.4593
0.0000 0.0000 0.0000
-7.7945 -1.3142 -0.0423

***

TcBiSe2 PBE relaxed; total DFT energy (no corrections) = -4.726 eV/atom; V = 22.6 Å³ per atom; D(E_F) = 0.83 states/eV/atom
1.0
1.8738 0.0000 9.8975
-0.9369 1.6228 9.8975
-0.9369 -1.6228 9.8975
Bi Se Tc
1 2 1
Cartesian
0.0000 0.0000 14.8462
0.0000 0.0000 27.3404
0.0000 0.0000 2.3520
0.0000 0.0000 0.0000

***

Tc3BiSe PBE relaxed; total DFT energy (no corrections) = -6.707 eV/atom; V = 20.0 Å³ per atom; D(E_F) = 1.45 states/eV/atom
1.0
-0.0565 -1.2735 4.4615
-4.3437 -1.5538 -0.4985
1.6308 -4.1826 -1.1733
Bi Se Tc
1 1 3
Cartesian
-1.3847 -3.5050 1.3949
0.0000 0.0000 0.0000
-2.1718 -0.7769 -0.2493
0.8154 -2.0913 -0.5866
-0.0282 -0.6368 2.2308

***

TcBi3Se PBE relaxed; total DFT energy (no corrections) = -3.883 eV/atom; V = 33.2 Å³ per atom; D(E_F) = 0.96 states/eV/atom
1.0
-0.4540 4.3442 -3.3397
-4.3880 -2.2953 -2.3892
-3.2818 2.4680 3.6565
Bi Se Tc
3 1 1
Cartesian
-2.1940 -1.1477 -1.1946
-1.6409 1.2340 1.8282
-0.2270 2.1721 -1.6698
0.0000 0.0000 0.0000
-4.0619 2.2584 -1.0362

***

TcBi3Se PBE relaxed; total DFT energy (no corrections) = -4.658 eV/atom; V = 29.5 Å³ per atom; D(E_F) = 1.08 states/eV/atom
1.0
-5.1435 -1.2184 -0.0067
1.2170 -5.1389 0.2254
-0.0585 0.2178 5.2811
Bi Se Tc
3 1 1
Cartesian
0.6085 -2.5695 0.1127
-0.0292 0.1089 2.6405
-2.5718 -0.6092 -0.0034
-1.9925 -3.0697 2.7499
0.0000 0.0000 0.0000

***

Tc3BiSe PBE relaxed; total DFT energy (no corrections) = -5.373 eV/atom; V = 27.2 Å³ per atom; D(E_F) = 1.20 states/eV/atom
1.0
5.1403 0.0000 0.0000
0.0000 5.1403 0.0000
0.0000 0.0000 5.1403
Bi Se Tc
1 1 3
Cartesian
0.0000 0.0000 0.0000
2.5701 2.5701 2.5701
0.0000 2.5701 0.0000
0.0000 0.0000 2.5701
2.5701 0.0000 0.0000

***

VTc2BiSe PBE relaxed; total DFT energy (no corrections) = -5.077 eV/atom; V = 28.2 Å³ per atom; D(E_F) = 2.01 states/eV/atom
1.0
5.0971 0.0000 0.0000
0.0000 5.4295 0.0000
0.0000 0.0000 5.0971
V Bi Se Tc
1 1 1 2
Cartesian
2.5486 2.7148 2.5486
0.0000 0.0000 0.0000
0.0000 2.7148 0.0000
0.0000 0.0000 2.5486
2.5486 0.0000 0.0000

***

V2TcBiSe PBE relaxed; total DFT energy (no corrections) = -5.980 eV/atom; V = 22.5 Å³ per atom; D(E_F) = 1.29 states/eV/atom
1.0
4.5042 0.0000 0.0000
0.0000 5.5420 0.0000
0.0000 0.0000 4.5042
V Bi Se Tc
2 1 1 1
Cartesian
0.0000 0.0000 2.2521
2.2521 0.0000 0.0000
0.0000 2.7710 0.0000
0.0000 0.0000 0.0000
2.2521 2.7710 2.2521

***

Bi3Te3Se PBE relaxed; total DFT energy (no corrections) = -3.648 eV/atom; V = 37.8 Å³ per atom; D(E_F) = 0.16 states/eV/atom
1.0
6.5608 0.0000 0.0000
0.0000 9.6530 -0.0033
0.0000 -4.8255 8.3635
Bi Te Se
6 6 2
Cartesian
4.9206 2.7603 5.8734
4.9206 -1.1202 3.0324
4.9206 -1.6394 7.8173
1.6402 2.0672 2.4868
1.6402 5.9477 5.3278
1.6402 6.4669 0.5429
1.6402 2.9544 5.8646
1.6402 -1.2228 2.8694
1.6402 -1.7283 7.9890
4.9206 1.8730 2.4956
4.9206 6.0503 5.4909
4.9206 6.5558 0.3712
4.9206 -0.0012 5.5745
1.6402 4.8287 2.7857